No. 1
Computed, not measured: ScPNO2 after structural relaxation at the PBE level of DFT.

Properties
The density of states at the Fermi level is 1.81 states/eV per cell. The space group is No. 123. For the uncorrected formation energy, the calculation gives -1221 meV per atom. As for the total energy: -7.22 eV/atom.

a = 3.6023 Å, b = 3.6023 Å, c = 3.6443 Å
α = 90.00°, β = 90.00°, γ = 90.00°
Positions (direct):
Sc  0.0000  0.0000  0.0000
P  0.5000  0.5000  0.5000
N  0.5000  0.5000  0.0000
O  0.0000  0.5000  0.5000
O  0.5000  0.0000  0.5000


No. 2
Computed, not measured: ScPNO2 after structural relaxation at the PBE level of DFT.

Properties
The density of states at the Fermi level is 2.18 states/eV per cell. The space group is No. 123. For the uncorrected formation energy, the calculation gives 2 meV per atom. As for the total energy: -5.99 eV/atom.

a = 3.8852 Å, b = 3.8852 Å, c = 3.6249 Å
α = 90.00°, β = 90.00°, γ = 90.00°
Positions (direct):
Sc  0.0000  0.0000  0.0000
P  0.5000  0.5000  0.0000
N  0.5000  0.5000  0.5000
O  0.0000  0.5000  0.5000
O  0.5000  0.0000  0.5000


No. 3
Computed, not measured: SiP2NO after structural relaxation at the PBE level of DFT.

Properties
The density of states at the Fermi level is 2.39 states/eV per cell. The space group is No. 123. The offset from the most stable computed form is 0.0 meV per atom. For the uncorrected formation energy, the calculation gives 810 meV per atom. As for the total energy: -5.09 eV/atom.

a = 4.5602 Å, b = 4.5602 Å, c = 3.2474 Å
α = 90.00°, β = 90.00°, γ = 90.00°
Positions (direct):
Si  0.0000  0.0000  0.0000
P  0.0000  0.5000  0.0000
P  0.5000  0.0000  0.0000
N  0.5000  0.5000  0.5000
O  0.0000  0.0000  0.5000


No. 4
Computed, not measured: SiPN2O after structural relaxation at the PBE level of DFT.

Properties
The density of states at the Fermi level is 2.26 states/eV per cell. The space group is No. 123. For the uncorrected formation energy, the calculation gives 277 meV per atom. As for the total energy: -6.21 eV/atom.

a = 3.6629 Å, b = 3.6629 Å, c = 3.4464 Å
α = 90.00°, β = 90.00°, γ = 90.00°
Positions (direct):
Si  0.0000  0.0000  0.0000
P  0.5000  0.5000  0.5000
N  0.0000  0.5000  0.0000
N  0.5000  0.0000  0.0000
O  0.0000  0.0000  0.5000